Model one:
Below is a geometry-optimized TmScAgRu structure, with properties calculated at the PBE-GGA level.

mass density	8.86	Mg/m³
magnetic moment	0.000	μB/cell

Structure (CIF):
```
data_TmScAgRu
_symmetry_space_group_name_H-M 'P 1'
_symmetry_Int_Tables_number 1
_cell_length_a 3.302
_cell_length_b 3.302
_cell_length_c 7.269
_cell_angle_alpha 90.00
_cell_angle_beta 90.00
_cell_angle_gamma 90.00
loop_
_symmetry_equiv_pos_as_xyz
'x,y,z'
loop_
_atom_site_label
_atom_site_fract_x
_atom_site_fract_y
_atom_site_fract_z
Tm1 0.000 0.000 0.000
Sc1 0.000 0.000 0.560
Ag1 0.500 0.500 0.296
Ru1 0.500 0.500 0.765
```

Model two:
Below is a geometry-optimized TmScAgRu structure, with properties calculated at the PBE-GGA level.

mass density	9.03	Mg/m³
magnetic moment	0.000	μB/cell

Structure (CIF):
```
data_TmScAgRu
_symmetry_space_group_name_H-M 'P 1'
_symmetry_Int_Tables_number 1
_cell_length_a 4.791
_cell_length_b 4.791
_cell_length_c 4.791
_cell_angle_alpha 60.00
_cell_angle_beta 60.00
_cell_angle_gamma 60.00
loop_
_symmetry_equiv_pos_as_xyz
'x,y,z'
loop_
_atom_site_label
_atom_site_fract_x
_atom_site_fract_y
_atom_site_fract_z
Tm1 0.000 0.000 0.000
Sc1 0.500 0.500 0.500
Ag1 0.250 0.250 0.250
Ru1 0.750 0.750 0.750
```

Which structure loses on stability? model two does.

Model one:
Below is a geometry-optimized ZrScAgRu structure, with properties calculated at the PBE-GGA level.

mass density	7.70	Mg/m³
magnetic moment	0.000	μB/cell

Structure (CIF):
```
data_ZrScAgRu
_symmetry_space_group_name_H-M 'P 1'
_symmetry_Int_Tables_number 1
_cell_length_a 4.721
_cell_length_b 4.721
_cell_length_c 4.721
_cell_angle_alpha 60.00
_cell_angle_beta 60.00
_cell_angle_gamma 60.00
loop_
_symmetry_equiv_pos_as_xyz
'x,y,z'
loop_
_atom_site_label
_atom_site_fract_x
_atom_site_fract_y
_atom_site_fract_z
Zr1 0.000 0.000 0.000
Sc1 0.500 0.500 0.500
Ag1 0.250 0.250 0.250
Ru1 0.750 0.750 0.750
```

Model two:
Below is a geometry-optimized ZrScAgRu structure, with properties calculated at the PBE-GGA level.

mass density	7.58	Mg/m³
magnetic moment	0.000	μB/cell

Structure (CIF):
```
data_ZrScAgRu
_symmetry_space_group_name_H-M 'P 1'
_symmetry_Int_Tables_number 1
_cell_length_a 3.192
_cell_length_b 3.192
_cell_length_c 7.421
_cell_angle_alpha 90.00
_cell_angle_beta 90.00
_cell_angle_gamma 90.00
loop_
_symmetry_equiv_pos_as_xyz
'x,y,z'
loop_
_atom_site_label
_atom_site_fract_x
_atom_site_fract_y
_atom_site_fract_z
Zr1 0.000 0.000 0.000
Sc1 0.000 0.000 0.560
Ag1 0.500 0.500 0.288
Ru1 0.500 0.500 0.779
```

Which structure loses on stability? model one does.

Model one:
Below is a geometry-optimized AgRu3Se structure, with properties calculated at the PBE-GGA level.

mass density	6.96	Mg/m³
magnetic moment	7.655	μB/cell

Structure (CIF):
```
data_AgRu3Se
_symmetry_space_group_name_H-M 'P 1'
_symmetry_Int_Tables_number 1
_cell_length_a 4.890
_cell_length_b 4.890
_cell_length_c 4.890
_cell_angle_alpha 90.00
_cell_angle_beta 90.00
_cell_angle_gamma 90.00
loop_
_symmetry_equiv_pos_as_xyz
'x,y,z'
loop_
_atom_site_label
_atom_site_fract_x
_atom_site_fract_y
_atom_site_fract_z
Ag1 0.000 0.000 0.000
Ru1 0.000 0.000 0.500
Ru2 0.000 0.500 0.000
Ru3 0.500 0.000 0.000
Se1 0.500 0.500 0.500
```

Model two:
Below is a geometry-optimized AgRu3Se structure, with properties calculated at the PBE-GGA level.

mass density	8.69	Mg/m³
magnetic moment	2.841	μB/cell

Structure (CIF):
```
data_AgRu3Se
_symmetry_space_group_name_H-M 'P 1'
_symmetry_Int_Tables_number 1
_cell_length_a 4.542
_cell_length_b 4.542
_cell_length_c 4.542
_cell_angle_alpha 90.00
_cell_angle_beta 90.00
_cell_angle_gamma 90.00
loop_
_symmetry_equiv_pos_as_xyz
'x,y,z'
loop_
_atom_site_label
_atom_site_fract_x
_atom_site_fract_y
_atom_site_fract_z
Ag1 0.000 0.000 0.000
Ru1 0.000 0.500 0.500
Ru2 0.500 0.000 0.500
Ru3 0.500 0.500 0.000
Se1 0.500 0.500 0.500
```

Which structure loses on stability? model one does.

Model one:
Below is a geometry-optimized Ag2Ru2Se structure, with properties calculated at the PBE-GGA level.

mass density	8.91	Mg/m³
magnetic moment	5.175	μB/cell

Structure (CIF):
```
data_Ag2Ru2Se
_symmetry_space_group_name_H-M 'P 1'
_symmetry_Int_Tables_number 1
_cell_length_a 8.224
_cell_length_b 8.224
_cell_length_c 2.739
_cell_angle_alpha 90.00
_cell_angle_beta 90.00
_cell_angle_gamma 90.00
loop_
_symmetry_equiv_pos_as_xyz
'x,y,z'
loop_
_atom_site_label
_atom_site_fract_x
_atom_site_fract_y
_atom_site_fract_z
Ag1 0.190 0.310 0.000
Ag2 0.310 0.810 0.000
Ag3 0.690 0.190 0.000
Ag4 0.810 0.690 0.000
Ru1 0.102 0.602 0.500
Ru2 0.398 0.102 0.500
Ru3 0.602 0.898 0.500
Ru4 0.898 0.398 0.500
Se1 0.000 0.000 0.000
Se2 0.500 0.500 0.000
```

Model two:
Below is a geometry-optimized Ag2Ru2Se structure, with properties calculated at the PBE-GGA level.

mass density	8.82	Mg/m³
magnetic moment	0.000	μB/cell

Structure (CIF):
```
data_Ag2Ru2Se
_symmetry_space_group_name_H-M 'P 1'
_symmetry_Int_Tables_number 1
_cell_length_a 8.167
_cell_length_b 8.167
_cell_length_c 8.167
_cell_angle_alpha 155.51
_cell_angle_beta 155.51
_cell_angle_gamma 34.91
loop_
_symmetry_equiv_pos_as_xyz
'x,y,z'
loop_
_atom_site_label
_atom_site_fract_x
_atom_site_fract_y
_atom_site_fract_z
Ag1 0.100 0.100 0.000
Ag2 0.900 0.900 0.000
Ru1 0.250 0.750 0.500
Ru2 0.750 0.250 0.500
Se1 0.500 0.500 0.000
```

Which structure loses on stability? model one does.

Model one:
Below is a geometry-optimized Si2AgRu structure, with properties calculated at the PBE-GGA level.

mass density	7.26	Mg/m³
magnetic moment	0.000	μB/cell

Structure (CIF):
```
data_Si2AgRu
_symmetry_space_group_name_H-M 'P 1'
_symmetry_Int_Tables_number 1
_cell_length_a 8.292
_cell_length_b 8.292
_cell_length_c 8.292
_cell_angle_alpha 20.40
_cell_angle_beta 20.40
_cell_angle_gamma 20.40
loop_
_symmetry_equiv_pos_as_xyz
'x,y,z'
loop_
_atom_site_label
_atom_site_fract_x
_atom_site_fract_y
_atom_site_fract_z
Si1 0.240 0.240 0.240
Si2 0.760 0.760 0.760
Ag1 0.000 0.000 0.000
Ru1 0.500 0.500 0.500
```

Model two:
Below is a geometry-optimized Si2AgRu structure, with properties calculated at the PBE-GGA level.

mass density	7.50	Mg/m³
magnetic moment	0.000	μB/cell

Structure (CIF):
```
data_Si2AgRu
_symmetry_space_group_name_H-M 'P 1'
_symmetry_Int_Tables_number 1
_cell_length_a 3.025
_cell_length_b 4.474
_cell_length_c 4.339
_cell_angle_alpha 90.00
_cell_angle_beta 90.10
_cell_angle_gamma 90.00
loop_
_symmetry_equiv_pos_as_xyz
'x,y,z'
loop_
_atom_site_label
_atom_site_fract_x
_atom_site_fract_y
_atom_site_fract_z
Si1 0.000 0.000 0.000
Si2 0.499 0.500 0.795
Ag1 0.501 0.000 0.501
Ru1 0.001 0.500 0.238
```

Model three:
Below is a geometry-optimized Si2AgRu structure, with properties calculated at the PBE-GGA level.

mass density	7.66	Mg/m³
magnetic moment	0.000	μB/cell

Structure (CIF):
```
data_Si2AgRu
_symmetry_space_group_name_H-M 'P 1'
_symmetry_Int_Tables_number 1
_cell_length_a 4.905
_cell_length_b 4.905
_cell_length_c 4.905
_cell_angle_alpha 135.33
_cell_angle_beta 135.33
_cell_angle_gamma 65.03
loop_
_symmetry_equiv_pos_as_xyz
'x,y,z'
loop_
_atom_site_label
_atom_site_fract_x
_atom_site_fract_y
_atom_site_fract_z
Si1 0.000 0.000 0.000
Si2 0.750 0.250 0.500
Ag1 0.250 0.750 0.500
Ru1 0.500 0.500 0.000
```

Model four:
Below is a geometry-optimized Si2AgRu structure, with properties calculated at the PBE-GGA level.

mass density	6.84	Mg/m³
magnetic moment	0.000	μB/cell

Structure (CIF):
```
data_Si2AgRu
_symmetry_space_group_name_H-M 'P 1'
_symmetry_Int_Tables_number 1
_cell_length_a 6.602
_cell_length_b 6.602
_cell_length_c 6.602
_cell_angle_alpha 155.54
_cell_angle_beta 147.24
_cell_angle_gamma 41.31
loop_
_symmetry_equiv_pos_as_xyz
'x,y,z'
loop_
_atom_site_label
_atom_site_fract_x
_atom_site_fract_y
_atom_site_fract_z
Si1 0.000 0.000 0.000
Si2 0.716 0.216 0.500
Ag1 0.332 0.832 0.500
Ru1 0.554 0.554 0.000
```

Which structure loses on stability? model three does.

Model one:
Below is a geometry-optimized Si2AgRu structure, with properties calculated at the PBE-GGA level.

mass density	7.51	Mg/m³
magnetic moment	0.341	μB/cell

Structure (CIF):
```
data_Si2AgRu
_symmetry_space_group_name_H-M 'P 1'
_symmetry_Int_Tables_number 1
_cell_length_a 3.352
_cell_length_b 3.352
_cell_length_c 5.215
_cell_angle_alpha 90.00
_cell_angle_beta 90.00
_cell_angle_gamma 90.00
loop_
_symmetry_equiv_pos_as_xyz
'x,y,z'
loop_
_atom_site_label
_atom_site_fract_x
_atom_site_fract_y
_atom_site_fract_z
Si1 0.000 0.000 0.000
Si2 0.500 0.500 0.292
Ag1 0.000 0.000 0.499
Ru1 0.500 0.500 0.834
```

Model two:
Below is a geometry-optimized Si2AgRu structure, with properties calculated at the PBE-GGA level.

mass density	7.28	Mg/m³
magnetic moment	0.000	μB/cell

Structure (CIF):
```
data_Si2AgRu
_symmetry_space_group_name_H-M 'P 1'
_symmetry_Int_Tables_number 1
_cell_length_a 8.164
_cell_length_b 8.164
_cell_length_c 8.164
_cell_angle_alpha 20.87
_cell_angle_beta 20.87
_cell_angle_gamma 20.87
loop_
_symmetry_equiv_pos_as_xyz
'x,y,z'
loop_
_atom_site_label
_atom_site_fract_x
_atom_site_fract_y
_atom_site_fract_z
Si1 0.000 0.000 0.000
Si2 0.256 0.256 0.256
Ag1 0.753 0.753 0.753
Ru1 0.519 0.519 0.519
```

Model three:
Below is a geometry-optimized Si2AgRu structure, with properties calculated at the PBE-GGA level.

mass density	7.60	Mg/m³
magnetic moment	0.000	μB/cell

Structure (CIF):
```
data_Si2AgRu
_symmetry_space_group_name_H-M 'P 1'
_symmetry_Int_Tables_number 1
_cell_length_a 4.344
_cell_length_b 4.344
_cell_length_c 4.344
_cell_angle_alpha 60.00
_cell_angle_beta 60.00
_cell_angle_gamma 60.00
loop_
_symmetry_equiv_pos_as_xyz
'x,y,z'
loop_
_atom_site_label
_atom_site_fract_x
_atom_site_fract_y
_atom_site_fract_z
Si1 0.250 0.250 0.250
Si2 0.750 0.750 0.750
Ag1 0.000 0.000 0.000
Ru1 0.500 0.500 0.500
```

Which structure loses on stability? model three does.

Model one:
Below is a geometry-optimized SiAg3Ru structure, with properties calculated at the PBE-GGA level.

mass density	5.92	Mg/m³
magnetic moment	1.935	μB/cell

Structure (CIF):
```
data_SiAg3Ru
_symmetry_space_group_name_H-M 'P 1'
_symmetry_Int_Tables_number 1
_cell_length_a 5.027
_cell_length_b 5.027
_cell_length_c 5.027
_cell_angle_alpha 90.00
_cell_angle_beta 90.00
_cell_angle_gamma 90.00
loop_
_symmetry_equiv_pos_as_xyz
'x,y,z'
loop_
_atom_site_label
_atom_site_fract_x
_atom_site_fract_y
_atom_site_fract_z
Si1 0.000 0.000 0.000
Ag1 0.000 0.500 0.500
Ag2 0.500 0.000 0.500
Ag3 0.500 0.500 0.000
Ru1 0.500 0.500 0.500
```

Model two:
Below is a geometry-optimized SiAg3Ru structure, with properties calculated at the PBE-GGA level.

mass density	7.44	Mg/m³
magnetic moment	2.123	μB/cell

Structure (CIF):
```
data_SiAg3Ru
_symmetry_space_group_name_H-M 'P 1'
_symmetry_Int_Tables_number 1
_cell_length_a 4.658
_cell_length_b 4.658
_cell_length_c 4.658
_cell_angle_alpha 90.00
_cell_angle_beta 90.00
_cell_angle_gamma 90.00
loop_
_symmetry_equiv_pos_as_xyz
'x,y,z'
loop_
_atom_site_label
_atom_site_fract_x
_atom_site_fract_y
_atom_site_fract_z
Si1 0.000 0.000 0.000
Ag1 0.000 0.000 0.500
Ag2 0.000 0.500 0.000
Ag3 0.500 0.000 0.000
Ru1 0.500 0.500 0.500
```

Which structure loses on stability? model one does.

Model one:
Below is a geometry-optimized Sm6AgRu structure, with properties calculated at the PBE-GGA level.

mass density	6.92	Mg/m³
magnetic moment	0.000	μB/cell

Structure (CIF):
```
data_Sm6AgRu
_symmetry_space_group_name_H-M 'P 1'
_symmetry_Int_Tables_number 1
_cell_length_a 6.821
_cell_length_b 6.826
_cell_length_c 7.694
_cell_angle_alpha 63.71
_cell_angle_beta 63.74
_cell_angle_gamma 60.03
loop_
_symmetry_equiv_pos_as_xyz
'x,y,z'
loop_
_atom_site_label
_atom_site_fract_x
_atom_site_fract_y
_atom_site_fract_z
Sm1 0.056 0.418 0.261
Sm2 0.236 0.944 0.739
Sm3 0.418 0.764 0.261
Sm4 0.582 0.236 0.739
Sm5 0.764 0.056 0.261
Sm6 0.944 0.582 0.739
Ag1 0.500 0.500 0.000
Ru1 0.000 0.000 0.500
```

Model two:
Below is a geometry-optimized Sm6AgRu structure, with properties calculated at the PBE-GGA level.

mass density	8.02	Mg/m³
magnetic moment	0.000	μB/cell

Structure (CIF):
```
data_Sm6AgRu
_symmetry_space_group_name_H-M 'P 1'
_symmetry_Int_Tables_number 1
_cell_length_a 9.483
_cell_length_b 9.483
_cell_length_c 9.483
_cell_angle_alpha 148.65
_cell_angle_beta 148.65
_cell_angle_gamma 44.92
loop_
_symmetry_equiv_pos_as_xyz
'x,y,z'
loop_
_atom_site_label
_atom_site_fract_x
_atom_site_fract_y
_atom_site_fract_z
Sm1 0.098 0.598 0.500
Sm2 0.247 0.247 0.000
Sm3 0.402 0.902 0.500
Sm4 0.598 0.098 0.500
Sm5 0.753 0.753 0.000
Sm6 0.902 0.402 0.500
Ag1 0.500 0.500 0.000
Ru1 0.000 0.000 0.000
```

Which structure loses on stability? model one does.